Below is an optimized crystal structure of Mg2Mn3O6, with properties calculated at the PBE with a Hubbard U level.

Computed properties:
Energy relative to the lowest polymorph listed for this composition ... 0.405 eV/atom
N(E_F) ... 0.313 states/eV per atom
Symmetry ... No. 139

a b c (Å): 3.6857 3.6857 9.7524
angles (deg): 100.89 100.89 90.00
Last column: nearest neighbours and their distance in Å.
Sites, in units of the cell vectors:
O (0.0677, 0.5677, 0.1354)  2 Mg 1.93
O (0.5677, 0.0677, 0.1354)  2 Mg 1.93
O (0.9323, 0.4323, 0.8646)  2 Mg 1.93
Mg (0.5977, 0.5977, 0.1955)  5 O 1.93-1.96
O (0.2978, 0.2978, 0.5956)  1 Mg 1.96, 1 Mn 2.00
Mn (0.1912, 0.1912, 0.3824)  1 O 2.00
Mn (0.0000, 0.0000, 0.0000)  8 O 2.24
Mn (0.8088, 0.8088, 0.6176)  1 O 2.00
Mg (0.4023, 0.4023, 0.8045)  5 O 1.93-1.96
O (0.7022, 0.7022, 0.4044)  1 Mg 1.96, 1 Mn 2.00
O (0.4323, 0.9323, 0.8646)  2 Mg 1.93